(1)
Here is a PBEsol-optimized structure of ZnHg2Os from Alexandria. Energies are from meta-GGA SCAN.

Cell: 2.7816 4.6983 6.4439 Å, 111.08 102.46 90.00°
Atoms (fractional coordinates):
Hg 0.0052 0.0050 0.0103
Hg 0.7949 0.2932 0.5898
Os 0.5084 0.5082 0.0167
Zn 0.1916 0.6936 0.3832

E_form = 2.046 eV per formula unit
total magnetic moment = 0.000 μB per formula unit

=====

(2)
Here is a PBEsol-optimized structure of ZnHg2Os from Alexandria. Energies are from meta-GGA SCAN.

Cell: 4.0286 4.0655 4.0655 Å, 90.00 90.00 90.00°
Atoms (fractional coordinates):
Hg 0.0000 0.0000 0.5000
Hg 0.0000 0.5000 0.0000
Os 0.5000 0.5000 0.5000
Zn 0.5000 0.0000 0.0000

E_form = 2.478 eV per formula unit
total magnetic moment = 0.000 μB per formula unit